1.
# ScTaNb2

An optimized crystal structure of ScTaNb2 (PBE, the Alexandria database).

abc: 4.7550 4.7550 4.7550
angles: 60.00 60.00 60.00
Atoms (fractional coordinates):
Sc1 0.0000 0.0000 0.0000
Ta1 0.5000 0.5000 0.5000
Nb1 0.2500 0.2500 0.2500
Nb2 0.7500 0.7500 0.7500

Values from the calculation:
Polymorph energy (0 for the lowest one) = 36.5 meV/atom



2.
# ScTaNb

An optimized crystal structure of ScTaNb (PBE, the Alexandria database).

abc: 2.8824 4.7936 8.4664
angles: 90.00 93.56 90.00
Atoms (fractional coordinates):
Sc1 0.0000 0.0000 0.0000
Sc2 0.1655 0.0000 0.3471
Ta1 0.3335 0.5000 0.8303
Ta2 0.5892 0.5000 0.1715
Nb1 0.6055 0.0000 0.6732
Nb2 0.8504 0.5000 0.5173

Values from the calculation:
Polymorph energy (0 for the lowest one) = 19.7 meV/atom



3.
# ScTaNb2

An optimized crystal structure of ScTaNb2 (PBE, the Alexandria database).

abc: 3.3627 3.3627 6.9293
angles: 90.00 90.00 90.00
Atoms (fractional coordinates):
Sc1 0.0000 0.0000 0.0000
Ta1 0.0000 0.0000 0.5000
Nb1 0.5000 0.5000 0.2811
Nb2 0.5000 0.5000 0.7189

Values from the calculation:
Polymorph energy (0 for the lowest one) = 0.0 meV/atom



4.
# ScTaNb

An optimized crystal structure of ScTaNb (PBE, the Alexandria database).

abc: 5.5993 5.5993 6.9409
angles: 107.98 107.98 35.99
Atoms (fractional coordinates):
Sc1 0.0000 0.0000 0.0000
Sc2 0.0000 0.0000 0.5000
Ta1 0.3108 0.3108 0.6576
Ta2 0.6892 0.6892 0.3424
Nb1 0.3131 0.3131 0.1546
Nb2 0.6869 0.6869 0.8454

Values from the calculation:
Polymorph energy (0 for the lowest one) = 1.7 meV/atom



5.
# ScTaNb

An optimized crystal structure of ScTaNb (PBE, the Alexandria database).

abc: 2.9594 2.9594 7.5256
angles: 104.76 104.76 70.35
Atoms (fractional coordinates):
Sc1 0.0000 0.0000 0.0000
Ta1 0.7444 0.7444 0.3449
Nb1 0.3939 0.3939 0.6501

Values from the calculation:
Polymorph energy (0 for the lowest one) = 13.7 meV/atom



6.
# ScTaNb4

An optimized crystal structure of ScTaNb4 (PBE, the Alexandria database).

abc: 5.4953 5.4953 5.4953
angles: 60.00 60.00 60.00
Atoms (fractional coordinates):
Sc1 0.0000 0.0000 0.0000
Ta1 0.2500 0.2500 0.2500
Nb1 0.1255 0.6248 0.6248
Nb2 0.6248 0.1255 0.6248
Nb3 0.6248 0.6248 0.1255
Nb4 0.6248 0.6248 0.6248

Values from the calculation:
Polymorph energy (0 for the lowest one) = 109.5 meV/atom



7.
# ScTaNb

An optimized crystal structure of ScTaNb (PBE, the Alexandria database).

abc: 4.8047 4.8047 2.9247
angles: 90.00 90.00 120.00
Atoms (fractional coordinates):
Sc1 0.0000 0.0000 0.0000
Ta1 0.3333 0.6667 0.5908
Nb1 0.6667 0.3333 0.3876

Values from the calculation:
Polymorph energy (0 for the lowest one) = 8.7 meV/atom



8.
# ScTaNb

An optimized crystal structure of ScTaNb (PBE, the Alexandria database).

abc: 5.6046 5.6046 5.6046
angles: 144.02 144.02 51.80
Atoms (fractional coordinates):
Sc1 0.0000 0.0000 0.0000
Ta1 0.3109 0.3109 0.0000
Nb1 0.6866 0.6866 0.0000

Values from the calculation:
Polymorph energy (0 for the lowest one) = 0.7 meV/atom



9.
# ScTaNb

An optimized crystal structure of ScTaNb (PBE, the Alexandria database).

abc: 4.7968 4.7846 5.6271
angles: 90.00 115.27 90.00
Atoms (fractional coordinates):
Sc1 0.0000 0.0000 0.0000
Sc2 0.1780 0.5000 0.3497
Ta1 0.3364 0.0000 0.6726
Ta2 0.6842 0.0000 0.3670
Nb1 0.4945 0.5000 0.9846
Nb2 0.8426 0.5000 0.6792

Values from the calculation:
Polymorph energy (0 for the lowest one) = 32.3 meV/atom



10.
# ScTaNb

An optimized crystal structure of ScTaNb (PBE, the Alexandria database).

abc: 5.5934 5.5934 4.9063
angles: 90.00 90.00 127.97
Atoms (fractional coordinates):
Sc1 0.0000 0.0000 0.0000
Sc2 0.5000 0.5000 0.5000
Ta1 0.1883 0.8117 0.5000
Ta2 0.8117 0.1883 0.5000
Nb1 0.3121 0.6879 0.0000
Nb2 0.6879 0.3121 0.0000

Values from the calculation:
Polymorph energy (0 for the lowest one) = 0.0 meV/atom



11.
# ScTaNb

An optimized crystal structure of ScTaNb (PBE, the Alexandria database).

abc: 5.6132 5.6132 5.8551
angles: 121.29 121.29 50.74
Atoms (fractional coordinates):
Sc1 0.0000 0.0000 0.0000
Sc2 0.0000 0.0000 0.5000
Ta1 0.3344 0.3344 0.5366
Ta2 0.6656 0.6656 0.4634
Nb1 0.3325 0.3325 0.0320
Nb2 0.6675 0.6675 0.9680

Values from the calculation:
Polymorph energy (0 for the lowest one) = 8.3 meV/atom



12.
# ScTaNb2

An optimized crystal structure of ScTaNb2 (PBE, the Alexandria database).

abc: 6.0003 6.0003 6.0003
angles: 103.38 103.38 122.49
Atoms (fractional coordinates):
Sc1 0.0000 0.0000 0.0000
Sc2 0.7500 0.2500 0.5000
Ta1 0.2500 0.7500 0.5000
Ta2 0.5000 0.5000 0.0000
Nb1 0.1335 0.6250 0.0085
Nb2 0.3750 0.3835 0.5085
Nb3 0.6165 0.1250 0.9915
Nb4 0.8750 0.8665 0.4915

Values from the calculation:
Polymorph energy (0 for the lowest one) = 532.3 meV/atom



| no. | ΔE_f (meV/atom) |
| --- | --- |
| 1 | 148 |
| 2 | 134 |
| 3 | 111 |
| 4 | 116 |
| 5 | 128 |
| 6 | 175 |
| 7 | 123 |
| 8 | 115 |
| 9 | 147 |
| 10 | 115 |
| 11 | 123 |
| 12 | 643 |